# CsZr2P2

Crystalline CsZr2P2 at its relaxed geometry (PBE, the Alexandria database).

The structure in CIF format:
```
data_CsZr2P2
_cell_length_a 5.0142
_cell_length_b 5.0142
_cell_length_c 10.8777
_cell_angle_alpha 90.00
_cell_angle_beta 90.00
_cell_angle_gamma 90.00
_symmetry_space_group_name_H-M 'I 4/m m m'
_symmetry_Int_Tables_number 139
_symmetry_space_group_name_Hall '-I 4 2'
loop_
_atom_site_label
_atom_site_fract_x
_atom_site_fract_y
_atom_site_fract_z
Cs1 0.0000 0.0000 0.0000
Zr1 0.0000 0.0000 0.3230
P1 0.0000 0.5000 0.2500
```

Total DFT energy (no corrections) in eV/atom: -6.151
Formation energy from the elements in eV per formula unit: -1.99